a.
Compound: MnHgTe3
Source: Alexandria via LeMat-Bulk
Functional: GGA-PBE
Structure: relaxed

Calculated values
Space group ... Pm-3m, No. 221

```
data_MnHgTe3
_symmetry_space_group_name_H-M 'P 1'
_symmetry_Int_Tables_number 1
_symmetry_space_group_name_Hall 'P 1'
_cell_length_a 5.1128
_cell_length_b 5.1128
_cell_length_c 5.1128
_cell_angle_alpha 90.00
_cell_angle_beta 90.00
_cell_angle_gamma 90.00
loop_
_atom_site_label
_atom_site_type_symbol
_atom_site_fract_x
_atom_site_fract_y
_atom_site_fract_z
_atom_site_occupancy
Mn1 Mn 0.0000 0.0000 0.0000 1
Te1 Te 0.5000 0.0000 0.0000 1
Hg1 Hg 0.5000 0.5000 0.5000 1
Te2 Te 0.0000 0.5000 0.0000 1
Te3 Te 0.0000 0.0000 0.5000 1
```

---

b.
Compound: MnHgTe3
Source: Alexandria via LeMat-Bulk
Functional: GGA-PBE
Structure: relaxed

Calculated values
Space group ... Pm-3m, No. 221

```
data_MnHgTe3
_symmetry_space_group_name_H-M 'P 1'
_symmetry_Int_Tables_number 1
_symmetry_space_group_name_Hall 'P 1'
_cell_length_a 5.5798
_cell_length_b 5.5798
_cell_length_c 5.5798
_cell_angle_alpha 90.00
_cell_angle_beta 90.00
_cell_angle_gamma 90.00
loop_
_atom_site_label
_atom_site_type_symbol
_atom_site_fract_x
_atom_site_fract_y
_atom_site_fract_z
_atom_site_occupancy
Te1 Te 0.0000 0.5000 0.0000 1
Mn1 Mn 0.5000 0.5000 0.5000 1
Te2 Te 0.5000 0.0000 0.0000 1
Hg1 Hg 0.0000 0.0000 0.0000 1
Te3 Te 0.0000 0.0000 0.5000 1
```

---

Most stable pick: a. Distance to second place: 0.447 eV/atom.

---

a.
Compound: Mn2HgTe2
Source: Alexandria via LeMat-Bulk
Functional: GGA-PBE
Structure: relaxed

Calculated values
Space group ... I4/mmm, No. 139

```
data_Mn2HgTe2
_symmetry_space_group_name_H-M 'P 1'
_symmetry_Int_Tables_number 1
_symmetry_space_group_name_Hall 'P 1'
_cell_length_a 3.7163
_cell_length_b 3.7163
_cell_length_c 9.6402
_cell_angle_alpha 78.89
_cell_angle_beta 78.89
_cell_angle_gamma 90.00
loop_
_atom_site_label
_atom_site_type_symbol
_atom_site_fract_x
_atom_site_fract_y
_atom_site_fract_z
_atom_site_occupancy
Hg1 Hg 0.0000 0.0000 0.0000 1
Mn1 Mn 0.7500 0.2500 0.5000 1
Te1 Te 0.3457 0.3457 0.3086 1
Te2 Te 0.6543 0.6543 0.6914 1
Mn2 Mn 0.2500 0.7500 0.5000 1
```

---

b.
Compound: Mn2HgTe2
Source: Alexandria via LeMat-Bulk
Functional: GGA-PBE
Structure: relaxed

Calculated values
Space group ... I4/mmm, No. 139

```
data_Mn2HgTe2
_symmetry_space_group_name_H-M 'P 1'
_symmetry_Int_Tables_number 1
_symmetry_space_group_name_Hall 'P 1'
_cell_length_a 5.2147
_cell_length_b 5.2147
_cell_length_c 5.4358
_cell_angle_alpha 61.34
_cell_angle_beta 61.34
_cell_angle_gamma 90.00
loop_
_atom_site_label
_atom_site_type_symbol
_atom_site_fract_x
_atom_site_fract_y
_atom_site_fract_z
_atom_site_occupancy
Mn1 Mn 0.3661 0.3661 0.2678 1
Te1 Te 0.2500 0.7500 0.5000 1
Hg1 Hg 0.0000 0.0000 0.0000 1
Mn2 Mn 0.6339 0.6339 0.7322 1
Te2 Te 0.7500 0.2500 0.5000 1
```

---

Most stable pick: a. Distance to second place: 0.354 eV/atom.

---

a.
Compound: Th2MnHg
Source: Alexandria via LeMat-Bulk
Functional: GGA-PBE
Structure: relaxed

Calculated values
Space group ... R-3m, No. 166

```
data_Th2MnHg
_symmetry_space_group_name_H-M 'P 1'
_symmetry_Int_Tables_number 1
_symmetry_space_group_name_Hall 'P 1'
_cell_length_a 3.3363
_cell_length_b 3.3363
_cell_length_c 11.2444
_cell_angle_alpha 81.47
_cell_angle_beta 81.47
_cell_angle_gamma 60.00
loop_
_atom_site_label
_atom_site_type_symbol
_atom_site_fract_x
_atom_site_fract_y
_atom_site_fract_z
_atom_site_occupancy
Hg1 Hg 0.5000 0.5000 0.5000 1
Mn1 Mn 0.0000 0.0000 0.0000 1
Th1 Th 0.9171 0.9171 0.2487 1
Th2 Th 0.0829 0.0829 0.7513 1
```

---

b.
Compound: Th2MnHg
Source: Alexandria via LeMat-Bulk
Functional: GGA-PBE
Structure: relaxed

Calculated values
Space group ... P4/mmm, No. 123

```
data_Th2MnHg
_symmetry_space_group_name_H-M 'P 1'
_symmetry_Int_Tables_number 1
_symmetry_space_group_name_Hall 'P 1'
_cell_length_a 3.3971
_cell_length_b 3.3971
_cell_length_c 8.5026
_cell_angle_alpha 90.00
_cell_angle_beta 90.00
_cell_angle_gamma 90.00
loop_
_atom_site_label
_atom_site_type_symbol
_atom_site_fract_x
_atom_site_fract_y
_atom_site_fract_z
_atom_site_occupancy
Hg1 Hg 0.5000 0.5000 0.5000 1
Mn1 Mn 0.5000 0.5000 0.0000 1
Th1 Th 0.0000 0.0000 0.2051 1
Th2 Th 0.0000 0.0000 0.7949 1
```

---

Most stable pick: b. Distance to second place: 0.448 eV/atom.

---

a.
Compound: Ti2Mn2Hg
Source: Alexandria via LeMat-Bulk
Functional: GGA-PBE
Structure: relaxed

Calculated values
Space group ... P4/mbm, No. 127

```
data_Ti2Mn2Hg
_symmetry_space_group_name_H-M 'P 1'
_symmetry_Int_Tables_number 1
_symmetry_space_group_name_Hall 'P 1'
_cell_length_a 7.0200
_cell_length_b 7.0200
_cell_length_c 3.0612
_cell_angle_alpha 90.00
_cell_angle_beta 90.00
_cell_angle_gamma 90.00
loop_
_atom_site_label
_atom_site_type_symbol
_atom_site_fract_x
_atom_site_fract_y
_atom_site_fract_z
_atom_site_occupancy
Hg1 Hg 0.0000 0.0000 0.0000 1
Ti1 Ti 0.3083 0.1917 0.5000 1
Mn1 Mn 0.8980 0.6020 0.0000 1
Ti2 Ti 0.6917 0.8083 0.5000 1
Ti3 Ti 0.1917 0.6917 0.5000 1
Hg2 Hg 0.5000 0.5000 0.0000 1
Ti4 Ti 0.8083 0.3083 0.5000 1
Mn2 Mn 0.1020 0.3980 0.0000 1
Mn3 Mn 0.3980 0.8980 0.0000 1
Mn4 Mn 0.6020 0.1020 0.0000 1
```

---

b.
Compound: Ti2Mn2Hg
Source: Alexandria via LeMat-Bulk
Functional: GGA-PBE
Structure: relaxed

Calculated values
Space group ... I4/mmm, No. 139

```
data_Ti2Mn2Hg
_symmetry_space_group_name_H-M 'P 1'
_symmetry_Int_Tables_number 1
_symmetry_space_group_name_Hall 'P 1'
_cell_length_a 3.1280
_cell_length_b 3.1280
_cell_length_c 8.5811
_cell_angle_alpha 79.50
_cell_angle_beta 79.50
_cell_angle_gamma 90.00
loop_
_atom_site_label
_atom_site_type_symbol
_atom_site_fract_x
_atom_site_fract_y
_atom_site_fract_z
_atom_site_occupancy
Ti1 Ti 0.3790 0.3790 0.2420 1
Mn1 Mn 0.7500 0.2500 0.5000 1
Mn2 Mn 0.2500 0.7500 0.5000 1
Hg1 Hg 0.0000 0.0000 0.0000 1
Ti2 Ti 0.6210 0.6210 0.7580 1
```

---

Most stable pick: a. Distance to second place: 0.195 eV/atom.

---

a.
Compound: Mn2TlHg
Source: Alexandria via LeMat-Bulk
Functional: GGA-PBE
Structure: relaxed

Calculated values
Space group ... P4mm, No. 99

```
data_Mn2TlHg
_symmetry_space_group_name_H-M 'P 1'
_symmetry_Int_Tables_number 1
_symmetry_space_group_name_Hall 'P 1'
_cell_length_a 3.1784
_cell_length_b 3.1784
_cell_length_c 7.8144
_cell_angle_alpha 90.00
_cell_angle_beta 90.00
_cell_angle_gamma 89.99
loop_
_atom_site_label
_atom_site_type_symbol
_atom_site_fract_x
_atom_site_fract_y
_atom_site_fract_z
_atom_site_occupancy
Hg1 Hg 0.5000 0.5000 0.7905 1
Tl1 Tl 0.0000 0.0000 0.4744 1
Mn1 Mn 0.5000 0.5000 0.2175 1
Mn2 Mn 0.0000 0.0000 0.0177 1
```

---

b.
Compound: Mn2TlHg
Source: Alexandria via LeMat-Bulk
Functional: GGA-PBE
Structure: relaxed

Calculated values
Space group ... R3m, No. 160

```
data_Mn2TlHg
_symmetry_space_group_name_H-M 'P 1'
_symmetry_Int_Tables_number 1
_symmetry_space_group_name_Hall 'P 1'
_cell_length_a 9.6566
_cell_length_b 9.6566
_cell_length_c 9.6566
_cell_angle_alpha 18.73
_cell_angle_beta 18.73
_cell_angle_gamma 18.73
loop_
_atom_site_label
_atom_site_type_symbol
_atom_site_fract_x
_atom_site_fract_y
_atom_site_fract_z
_atom_site_occupancy
Tl1 Tl 0.4933 0.4933 0.4933 1
Hg1 Hg 0.2592 0.2592 0.2592 1
Mn1 Mn 0.0052 0.0052 0.0052 1
Mn2 Mn 0.7423 0.7423 0.7423 1
```

---

c.
Compound: Mn2TlHg
Source: Alexandria via LeMat-Bulk
Functional: GGA-PBE
Structure: relaxed

Calculated values
Space group ... I-42d, No. 122

```
data_Mn2TlHg
_symmetry_space_group_name_H-M 'P 1'
_symmetry_Int_Tables_number 1
_symmetry_space_group_name_Hall 'P 1'
_cell_length_a 7.4970
_cell_length_b 7.4970
_cell_length_c 6.1097
_cell_angle_alpha 52.15
_cell_angle_beta 52.15
_cell_angle_gamma 90.00
loop_
_atom_site_label
_atom_site_type_symbol
_atom_site_fract_x
_atom_site_fract_y
_atom_site_fract_z
_atom_site_occupancy
Hg1 Hg 0.5000 0.5000 0.0000 1
Mn1 Mn 0.6169 0.1250 0.2500 1
Tl1 Tl 0.0000 0.0000 0.0000 1
Hg2 Hg 0.2500 0.7500 0.5000 1
Mn2 Mn 0.1331 0.6250 0.2500 1
Tl2 Tl 0.7500 0.2500 0.5000 1
Mn3 Mn 0.8750 0.8669 0.7500 1
Mn4 Mn 0.3750 0.3831 0.7500 1
```

---

Most stable pick: a. Distance to second place: 0.080 eV/atom.

---

a.
Compound: Mn2TlHg
Source: Alexandria via LeMat-Bulk
Functional: GGA-PBE
Structure: relaxed

Calculated values
Space group ... F-43m, No. 216

```
data_Mn2TlHg
_symmetry_space_group_name_H-M 'P 1'
_symmetry_Int_Tables_number 1
_symmetry_space_group_name_Hall 'P 1'
_cell_length_a 4.8328
_cell_length_b 4.8328
_cell_length_c 4.8328
_cell_angle_alpha 60.00
_cell_angle_beta 60.00
_cell_angle_gamma 60.00
loop_
_atom_site_label
_atom_site_type_symbol
_atom_site_fract_x
_atom_site_fract_y
_atom_site_fract_z
_atom_site_occupancy
Mn1 Mn 0.0000 0.0000 0.0000 1
Tl1 Tl 0.7500 0.7500 0.7500 1
Hg1 Hg 0.5000 0.5000 0.5000 1
Mn2 Mn 0.2500 0.2500 0.2500 1
```

---

b.
Compound: Mn2TlHg
Source: Alexandria via LeMat-Bulk
Functional: GGA-PBE
Structure: relaxed

Calculated values
Space group ... Pmmm, No. 47

```
data_Mn2TlHg
_symmetry_space_group_name_H-M 'P 1'
_symmetry_Int_Tables_number 1
_symmetry_space_group_name_Hall 'P 1'
_cell_length_a 3.6595
_cell_length_b 3.2573
_cell_length_c 7.2004
_cell_angle_alpha 63.05
_cell_angle_beta 90.00
_cell_angle_gamma 90.00
loop_
_atom_site_label
_atom_site_type_symbol
_atom_site_fract_x
_atom_site_fract_y
_atom_site_fract_z
_atom_site_occupancy
Mn1 Mn 0.0000 0.0143 0.9859 1
Hg1 Hg 0.5000 0.7500 0.7500 1
Mn2 Mn 0.0000 0.4857 0.5141 1
Tl1 Tl 0.5000 0.2500 0.2500 1
```

---

Most stable pick: b. Distance to second place: 0.189 eV/atom.